PBE LiBi2Rh2, optimized geometry; VASP energy = -50.4 eV/cell; energy of formation = -0.161 eV per atom
1.0
-5.8455 3.3502 -3.5704
-4.7138 -5.3542 2.6935
-0.6073 1.9601 2.8335
Bi Rh Li
4 4 2
direct
0.6617 0.8383 0.5000
0.8383 0.3383 0.5000
0.1617 0.6617 0.5000
0.3383 0.1617 0.5000
0.8647 0.6353 0.0000
0.6353 0.1353 0.0000
0.3647 0.8647 0.0000
0.1353 0.3647 0.0000
0.5000 0.5000 0.0000
0.0000 0.0000 0.0000

PBE ScP2PbCl, optimized geometry; VASP energy = -20.3 eV/cell; formation energy (no corrections) = 47 kJ per mole of atoms
1.0
-3.9843 -2.1509 -2.4813
0.3035 -4.1258 3.0892
-3.2748 2.2416 3.3154
P Sc Cl Pb
2 1 1 1
direct
0.5000 0.0000 0.0000
0.0000 0.5000 0.0000
0.5000 0.5000 0.5000
0.0000 0.0000 0.5000
0.0000 0.0000 0.0000

PBE Rb2LiThBr6, optimized geometry; VASP energy = -73.9 eV/cell; formation energy (no corrections) = -151 kJ per mole of atoms
1.0
8.1434 0.0000 0.0000
4.0717 7.0524 0.0000
4.0717 2.3508 12.7316
Br Li Th Rb
12 2 2 4
direct
0.6311 0.1100 0.6278
0.7985 0.7985 0.1238
0.2015 0.2015 0.8762
0.3689 0.8900 0.3722
0.3689 0.3689 0.3722
0.7985 0.2792 0.1238
0.8900 0.3689 0.3722
0.1100 0.6311 0.6278
0.2792 0.7985 0.1238
0.6311 0.6311 0.6278
0.7208 0.2015 0.8762
0.2015 0.7208 0.8762
0.0000 0.0000 0.0000
0.5000 0.5000 0.5000
0.4165 0.4165 0.7504
0.5835 0.5835 0.2496
0.2872 0.2872 0.1385
0.1268 0.1268 0.6197
0.8732 0.8732 0.3803
0.7128 0.7128 0.8615

PBE Ni2SnGe2, optimized geometry; VASP energy = -49.5 eV/cell; energy of formation = 0.006 eV per atom
1.0
7.2771 0.0000 0.0000
0.0000 7.2771 0.0000
0.0000 0.0000 3.0072
Ni Ge Sn
4 4 2
direct
0.3669 0.8669 0.0000
0.8669 0.6331 0.0000
0.6331 0.1331 0.0000
0.1331 0.3669 0.0000
0.6527 0.8473 0.5000
0.3473 0.1527 0.5000
0.1527 0.6527 0.5000
0.8473 0.3473 0.5000
0.5000 0.5000 0.0000
0.0000 0.0000 0.0000

PBE Rb2Pa3S8, optimized geometry; VASP energy = -84.0 eV/cell; formation energy (no corrections) = -153 kJ per mole of atoms
1.0
-5.7182 -1.0064 3.9713
2.8733 -7.3916 2.2640
4.1353 7.2297 3.3341
S Pa Rb
8 3 2
direct
0.3824 0.8714 0.1863
0.9625 0.6005 0.2009
0.8995 0.0914 0.1828
0.1005 0.9086 0.8172
0.3824 0.3149 0.1863
0.0375 0.3995 0.7991
0.6176 0.1286 0.8137
0.6176 0.6851 0.8137
0.0000 0.2568 0.0000
0.0000 0.7432 0.0000
0.5000 0.0000 0.0000
0.3374 0.2721 0.5442
0.6626 0.7279 0.4558

PBE PmYTm2As4, optimized geometry; VASP energy = -50.9 eV/cell; energy of formation = -1.518 eV per atom
1.0
-3.8250 -1.5064 0.3502
2.2880 -6.3501 -2.3252
2.0721 -3.9679 5.5644
As Tm Pm Y
4 2 1 1
direct
0.5000 0.2435 0.7492
0.0000 0.7587 0.7440
0.5000 0.7565 0.2508
0.0000 0.2413 0.2560
0.0000 0.0000 0.0000
0.5000 0.0000 0.5000
0.5000 0.5000 0.0000
0.0000 0.5000 0.5000

Number 1: magnetization 0.000 μB per formula unit. Number 2: magnetization 0.000 μB per formula unit. Number 3: magnetization 1.031 μB per formula unit. Number 4: magnetization 0.000 μB per formula unit. Number 5: magnetization 1.183 μB per formula unit. Number 6: magnetization 0.000 μB per formula unit.